1.
Compound: HfScU
Source: the Alexandria database
Functional: PBE-GGA
Structure: optimized geometry

It has space group Cmcm (No. 63), with a = 3.021 Å, b = 18.515 Å, c = 4.800 Å, α = 90.00°, β = 90.00° and γ = 90.00°. The inequivalent atoms are Hf at (0.000, 0.119, 0.250), Sc at (0.000, 0.295, 0.250) and U at (0.000, 0.466, 0.250).

The density of states at the Fermi level is 23.53 states/eV/cell. Its crystal system is orthorhombic.

***

2.
Compound: KLiHg2
Source: the Alexandria database
Functional: PBE-GGA
Structure: optimized geometry

It has space group P4/mmm (No. 123), with a = 3.681 Å, b = 3.681 Å, c = 7.999 Å, α = 90.00°, β = 90.00° and γ = 90.00°. The inequivalent atoms are K at (0.000, 0.000, 0.000), Li at (0.000, 0.000, 0.500) and Hg at (0.500, 0.500, 0.314).

The density of states at the Fermi level is 0.97 states/eV/cell. Its crystal system is tetragonal.

***

In order of appearance, E above lowest polymorph = 0; 0 kJ/mol of formula units.
In order of appearance, energy relative to the elements = 118; -266 meV per atom.
In order of appearance, spin magnetization = 0.0; 0.0 μB/f.u..